Version w
The following is a PBE calculation of a geometry-optimized TbSm6Tm3 structure, from Alexandria via LeMat-Bulk.

Cell and atoms, written as CIF:
```
data_TbSm6Tm3
_chemical_formula_sum 'Tb4 Sm24 Tm12'
_space_group_name_H-M_alt 'C m c 21'
_space_group_IT_number 36
_cell_length_a 9.7281
_cell_length_b 21.1541
_cell_length_c 6.3917
_cell_angle_alpha 90.00
_cell_angle_beta 90.00
_cell_angle_gamma 90.00
loop_
_space_group_symop_operation_xyz
'x,y,z'
'-x,-y,z+1/2'
'-x,y,z'
'x,-y,z+1/2'
'x+1/2,y+1/2,z'
'-x+1/2,-y+1/2,z+1/2'
'-x+1/2,y+1/2,z'
'x+1/2,-y+1/2,z+1/2'
loop_
_atom_site_label
_atom_site_type_symbol
_atom_site_fract_x
_atom_site_fract_y
_atom_site_fract_z
_atom_site_occupancy
Tb1 Tb 0.0000 0.1590 0.0000 1
Sm1 Sm 0.0000 0.0159 0.2003 1
Sm2 Sm 0.0000 0.3008 0.2188 1
Sm3 Sm 0.1750 0.2806 0.6880 1
Sm4 Sm 0.1799 0.4406 0.4392 1
Tm1 Tm 0.0000 0.4190 0.9186 1
Tm2 Tm 0.1682 0.1255 0.5231 1
```

Summary:
- Magnetization: 0.000 Bohr magnetons per cell
- DOS(E_F): 15.68 states/eV/f.u.



Version x
The following is a PBE calculation of a geometry-optimized TbSm6Tm3 structure, from Alexandria via LeMat-Bulk.

Cell and atoms, written as CIF:
```
data_TbSm6Tm3
_chemical_formula_sum 'Tb4 Sm24 Tm12'
_space_group_name_H-M_alt 'C m c 21'
_space_group_IT_number 36
_cell_length_a 10.9991
_cell_length_b 19.1736
_cell_length_c 6.2326
_cell_angle_alpha 90.00
_cell_angle_beta 90.00
_cell_angle_gamma 90.00
loop_
_space_group_symop_operation_xyz
'x,y,z'
'-x,-y,z+1/2'
'-x,y,z'
'x,-y,z+1/2'
'x+1/2,y+1/2,z'
'-x+1/2,-y+1/2,z+1/2'
'-x+1/2,y+1/2,z'
'x+1/2,-y+1/2,z+1/2'
loop_
_atom_site_label
_atom_site_type_symbol
_atom_site_fract_x
_atom_site_fract_y
_atom_site_fract_z
_atom_site_occupancy
Tb1 Tb 0.0000 0.2000 0.0000 1
Sm1 Sm 0.0000 0.0409 0.7855 1
Sm2 Sm 0.0000 0.2791 0.5229 1
Sm3 Sm 0.1669 0.4570 0.4187 1
Sm4 Sm 0.2355 0.2899 0.2369 1
Tm1 Tm 0.0000 0.3866 0.9534 1
Tm2 Tm 0.1682 0.1120 0.3406 1
```

Summary:
- Magnetization: 0.000 Bohr magnetons per cell
- DOS(E_F): 13.58 states/eV/f.u.



Which of them is the least stable? Correct choice: version x.



Version w
The following is a PBE calculation of a geometry-optimized Tb3Sm2Tm7 structure, from Alexandria via LeMat-Bulk.

Cell and atoms, written as CIF:
```
data_Tb3Sm2Tm7
_chemical_formula_sum 'Tb6 Sm4 Tm14'
_space_group_name_H-M_alt 'C m m m'
_space_group_IT_number 65
_space_group_name_Hall '-C 2 2'
_cell_length_a 5.6304
_cell_length_b 37.4907
_cell_length_c 3.5796
_cell_angle_alpha 90.00
_cell_angle_beta 90.00
_cell_angle_gamma 90.00
loop_
_atom_site_label
_atom_site_type_symbol
_atom_site_fract_x
_atom_site_fract_y
_atom_site_fract_z
_atom_site_occupancy
Tb1 Tb 0.0000 0.0000 0.0000 1
Tb2 Tb 0.0000 0.1857 0.0000 1
Sm1 Sm 0.0000 0.3533 0.5000 1
Tm1 Tm 0.0000 0.0896 0.5000 1
Tm2 Tm 0.0000 0.2696 0.5000 1
Tm3 Tm 0.0000 0.4291 0.0000 1
Tm4 Tm 0.0000 0.5000 0.5000 1
```

Summary:
- Magnetization: 0.000 Bohr magnetons per cell
- DOS(E_F): 17.88 states/eV/f.u.



Version x
The following is a PBE calculation of a geometry-optimized Tb3Sm2Tm7 structure, from Alexandria via LeMat-Bulk.

Cell and atoms, written as CIF:
```
data_Tb3Sm2Tm7
_chemical_formula_sum 'Tb3 Sm2 Tm7'
_space_group_name_H-M_alt 'P 1 2/m 1'
_space_group_IT_number 10
_cell_length_a 6.2770
_cell_length_b 3.4922
_cell_length_c 17.3027
_cell_angle_alpha 90.00
_cell_angle_beta 96.24
_cell_angle_gamma 90.00
loop_
_space_group_symop_operation_xyz
'x,y,z'
'-x,-y,-z'
'-x,y,-z'
'x,-y,z'
loop_
_atom_site_label
_atom_site_type_symbol
_atom_site_fract_x
_atom_site_fract_y
_atom_site_fract_z
_atom_site_occupancy
Tb1 Tb 0.0000 0.0000 0.0000 1
Tb2 Tb 0.0486 0.5000 0.6577 1
Sm1 Sm 0.4404 0.0000 0.3256 1
Tm1 Tm 0.2257 0.5000 0.1635 1
Tm2 Tm 0.2450 0.0000 0.5007 1
Tm3 Tm 0.2739 0.0000 0.8343 1
Tm4 Tm 0.5000 0.5000 0.0000 1
```

Summary:
- Magnetization: 0.000 Bohr magnetons per cell
- DOS(E_F): 17.60 states/eV/f.u.



Which of them is the least stable? Correct choice: version w.



Version w
The following is a PBE calculation of a geometry-optimized Tb12Sm7Tm structure, from Alexandria via LeMat-Bulk.

Cell and atoms, written as CIF:
```
data_Tb12Sm7Tm
_chemical_formula_sum 'Tb24 Sm14 Tm2'
_space_group_name_H-M_alt 'I m -3 m'
_space_group_IT_number 229
_space_group_name_Hall '-I 4 2 3'
_cell_length_a 11.3196
_cell_length_b 11.3196
_cell_length_c 11.3196
_cell_angle_alpha 90.00
_cell_angle_beta 90.00
_cell_angle_gamma 90.00
loop_
_atom_site_label
_atom_site_type_symbol
_atom_site_fract_x
_atom_site_fract_y
_atom_site_fract_z
_atom_site_occupancy
Tb1 Tb 0.0000 0.2468 0.2468 1
Sm1 Sm 0.0000 0.0000 0.5000 1
Sm2 Sm 0.2500 0.2500 0.2500 1
Tm1 Tm 0.0000 0.0000 0.0000 1
```

Summary:
- Magnetization: 0.000 Bohr magnetons per cell
- DOS(E_F): 24.82 states/eV/f.u.



Version x
The following is a PBE calculation of a geometry-optimized Tb12Sm7Tm structure, from Alexandria via LeMat-Bulk.

Cell and atoms, written as CIF:
```
data_Tb12Sm7Tm
_chemical_formula_sum 'Tb36 Sm21 Tm3'
_space_group_name_H-M_alt 'R -3'
_space_group_IT_number 148
_space_group_name_Hall '-R 3'
_cell_length_a 11.9972
_cell_length_b 11.9972
_cell_length_c 16.1730
_cell_angle_alpha 90.00
_cell_angle_beta 90.00
_cell_angle_gamma 120.00
loop_
_atom_site_label
_atom_site_type_symbol
_atom_site_fract_x
_atom_site_fract_y
_atom_site_fract_z
_atom_site_occupancy
Tb1 Tb 0.0258 0.5747 0.2223 1
Tb2 Tb 0.0518 0.4657 0.5825 1
Sm1 Sm 0.0000 0.0000 0.0000 1
Sm2 Sm 0.0567 0.8679 0.2904 1
Tm1 Tm 0.0000 0.0000 0.5000 1
```

Summary:
- Magnetization: 0.001 Bohr magnetons per cell
- DOS(E_F): 36.78 states/eV/f.u.



Which of them is the least stable? Correct choice: version w.